1.
PBE SrPrNiPd, optimized geometry; E_form = -30 kJ per mole of atoms; spin magnetization = 0.000 μB/f.u.; SG = F-43m
1.0
0.000 3.629 3.629
3.629 0.000 3.629
3.629 3.629 0.000
Sr Pr Ni Pd
1 1 1 1
Direct
0.000 0.000 0.000 Sr
0.500 0.500 0.500 Pr
0.250 0.250 0.250 Ni
0.750 0.750 0.750 Pd

2.
PBE PrThNiPd, optimized geometry; E_form = -54 kJ per mole of atoms; spin magnetization = 0.000 μB/f.u.; polymorph energy (0 for the lowest one) = 0.000 eV/atom; SG = Amm2
1.0
4.351 0.000 0.000
0.000 1.915 5.687
0.000 -1.915 5.687
Pr Th Ni Pd
1 1 1 1
Direct
0.000 0.000 0.000 Pr
0.500 0.273 0.273 Th
0.000 0.737 0.737 Ni
0.500 0.567 0.567 Pd

3.
PBE PrThNiPd, optimized geometry; E_form = -40 kJ per mole of atoms; spin magnetization = 0.000 μB/f.u.; polymorph energy (0 for the lowest one) = 0.137 eV/atom; SG = F-43m
1.0
0.000 3.583 3.583
3.583 0.000 3.583
3.583 3.583 0.000
Pr Th Ni Pd
1 1 1 1
Direct
0.000 0.000 0.000 Pr
0.500 0.500 0.500 Th
0.250 0.250 0.250 Ni
0.750 0.750 0.750 Pd

4.
PBE PrTlNiPd, optimized geometry; E_form = -30 kJ per mole of atoms; spin magnetization = 0.000 μB/f.u.; SG = F-43m
1.0
0.000 3.449 3.449
3.449 0.000 3.449
3.449 3.449 0.000
Pr Tl Ni Pd
1 1 1 1
Direct
0.000 0.000 0.000 Pr
0.500 0.500 0.500 Tl
0.750 0.750 0.750 Ni
0.250 0.250 0.250 Pd